1.
Compound: Cs2RbCd2
Source: Alexandria via LeMat-Bulk
Functional: meta-GGA SCAN
Structure: PBEsol geometry

a = 8.7207 Å, b = 8.7207 Å, c = 8.7207 Å
α = 140.35°, β = 140.35°, γ = 57.33°
Sites, in units of the cell vectors:
Cs: 0.2500 0.7500 0.5000
Cs: 0.7500 0.2500 0.5000
Rb: 0.0000 0.0000 0.0000
Cd: 0.4086 0.4086 0.0000
Cd: 0.5914 0.5914 0.0000

Results
As for the energy above the lowest structure with this stoichiometry: 52 meV/atom. The calculation puts the size of the total moment at 0.00 μB per cell. For the energy, the calculation gives -31.41 eV per atom.

2.
Compound: Cs3RbCd
Source: Alexandria via LeMat-Bulk
Functional: meta-GGA SCAN
Structure: PBEsol geometry

a = 7.4849 Å, b = 7.4849 Å, c = 7.4849 Å
α = 90.00°, β = 90.00°, γ = 90.00°
Sites, in units of the cell vectors:
Cs: 0.0000 0.0000 0.5000
Cs: 0.0000 0.5000 0.0000
Cs: 0.5000 0.0000 0.0000
Rb: 0.5000 0.5000 0.5000
Cd: 0.0000 0.0000 0.0000

Results
The calculation puts the size of the total moment at 0.01 μB per cell. For the energy, the calculation gives -32.89 eV per atom.

3.
Compound: CsRbCd3
Source: Alexandria via LeMat-Bulk
Functional: meta-GGA SCAN
Structure: PBEsol geometry

a = 6.4572 Å, b = 6.4572 Å, c = 6.4572 Å
α = 90.00°, β = 90.00°, γ = 90.00°
Sites, in units of the cell vectors:
Cs: 0.0000 0.0000 0.0000
Rb: 0.5000 0.5000 0.5000
Cd: 0.0000 0.5000 0.5000
Cd: 0.5000 0.0000 0.5000
Cd: 0.5000 0.5000 0.0000

Results
The calculation puts the size of the total moment at 0.00 μB per cell. For the energy, the calculation gives -29.63 eV per atom.

4.
Compound: CsRbCd2
Source: Alexandria via LeMat-Bulk
Functional: meta-GGA SCAN
Structure: PBEsol geometry

a = 6.2525 Å, b = 6.2525 Å, c = 6.2525 Å
α = 60.00°, β = 60.00°, γ = 60.00°
Sites, in units of the cell vectors:
Cs: 0.0000 0.0000 0.0000
Rb: 0.5000 0.5000 0.5000
Cd: 0.2500 0.2500 0.2500
Cd: 0.7500 0.7500 0.7500

Results
The calculation puts the size of the total moment at 0.01 μB per cell. For the energy, the calculation gives -29.79 eV per atom.

5.
Compound: Cs2RbCd2
Source: Alexandria via LeMat-Bulk
Functional: meta-GGA SCAN
Structure: PBEsol geometry

a = 9.6999 Å, b = 9.6999 Å, c = 5.6205 Å
α = 90.00°, β = 90.00°, γ = 90.00°
Sites, in units of the cell vectors:
Cs: 0.1740 0.3260 0.0000
Cs: 0.3260 0.8260 0.0000
Cs: 0.6740 0.1740 0.0000
Cs: 0.8260 0.6740 0.0000
Rb: 0.0000 0.0000 0.5000
Rb: 0.5000 0.5000 0.5000
Cd: 0.1075 0.6075 0.5000
Cd: 0.3925 0.1075 0.5000
Cd: 0.6075 0.8925 0.5000
Cd: 0.8925 0.3925 0.5000

Results
As for the energy above the lowest structure with this stoichiometry: 0 meV/atom. The calculation puts the size of the total moment at 0.00 μB per cell. For the energy, the calculation gives -31.46 eV per atom.

6.
Compound: CsCdRu3
Source: Alexandria via LeMat-Bulk
Functional: meta-GGA SCAN
Structure: PBEsol geometry

a = 4.7950 Å, b = 4.7950 Å, c = 4.7950 Å
α = 90.00°, β = 90.00°, γ = 90.00°
Sites, in units of the cell vectors:
Cs: 0.0000 0.0000 0.0000
Cd: 0.5000 0.5000 0.5000
Ru: 0.0000 0.0000 0.5000
Ru: 0.0000 0.5000 0.0000
Ru: 0.5000 0.0000 0.0000

Results
The calculation puts the size of the total moment at 2.76 μB per cell. For the energy, the calculation gives -31.74 eV per atom.

- The highest size of the total moment belongs to which entry?
  CsCdRu3

- size of the total moment of number 5 (Cs2RbCd2)?
  0.00 μB per cell

- Number 3 is which compound?
  CsRbCd3

- Which value of size of the total moment does entry 1 give?
  0.00 μB per cell